# AcThAg4, relaxed, DFT GGA-PBE
data_AcThAg4
_chemical_formula_sum 'Ac4 Th4 Ag16'
_symmetry_space_group_name_H-M 'F -4 3 m'
_symmetry_Int_Tables_number 216
_symmetry_space_group_name_Hall 'F -4 2 3'
_cell_length_a 8.3106
_cell_length_b 8.3106
_cell_length_c 8.3106
_cell_angle_alpha 90.00
_cell_angle_beta 90.00
_cell_angle_gamma 90.00
loop_
_atom_site_label
_atom_site_type_symbol
_atom_site_fract_x
_atom_site_fract_y
_atom_site_fract_z
Ac1 Ac 0.0000 0.0000 0.0000
Th1 Th 0.2500 0.2500 0.2500
Ag1 Ag 0.1245 0.1245 0.6245
# Energy relative to the elements   -0.031 eV per atom
# Spin magnetization   0.0 μB per formula unit
# Energy relative to the lowest polymorph listed for this composition   0.159 eV per atom

***

# Tb3Pr4Y5, relaxed, DFT GGA-PBE
data_Tb3Pr4Y5
_chemical_formula_sum 'Tb6 Pr8 Y10'
_symmetry_space_group_name_H-M 'C 1 2/m 1'
_symmetry_Int_Tables_number 12
_cell_length_a 16.2979
_cell_length_b 5.9871
_cell_length_c 9.4628
_cell_angle_alpha 90.00
_cell_angle_beta 116.75
_cell_angle_gamma 90.00
loop_
_symmetry_equiv_pos_as_xyz
'x,y,z'
'-x,-y,-z'
'-x,y,-z'
'x,-y,z'
'x+1/2,y+1/2,z'
'-x+1/2,-y+1/2,-z'
'-x+1/2,y+1/2,-z'
'x+1/2,-y+1/2,z'
loop_
_atom_site_label
_atom_site_type_symbol
_atom_site_fract_x
_atom_site_fract_y
_atom_site_fract_z
Tb1 Tb 0.0000 0.0000 0.0000
Tb2 Tb 0.2128 0.5000 0.2369
Pr1 Pr 0.0855 0.5000 0.4483
Pr2 Pr 0.2168 0.5000 0.8840
Y1 Y 0.0000 0.5000 0.0000
Y2 Y 0.0710 0.0000 0.7034
Y3 Y 0.1701 0.0000 0.3825
# Energy relative to the elements   0.217 eV per atom
# Spin magnetization   0.5 μB per formula unit
# Energy relative to the lowest polymorph listed for this composition   0.199 eV per atom